The following is a DFT calculation (PBE+U) of crystalline YTa2CoO at its relaxed geometry.

abc: 4.9064 4.9064 3.6659
angles: 90.00 90.00 90.00
Fractional coordinates of all 5 atoms:
Y 0.0000 0.0000 0.0000
Ta 0.0000 0.5000 0.5000
Ta 0.5000 0.0000 0.5000
Co 0.5000 0.5000 0.5000
O 0.5000 0.5000 0.0000

- uncorrected energy (eV per atom) = -7.263
- symmetry = No. 123